(1)
SiMo2Ru | Alexandria via LeMat-Bulk | PBE | optimized geometry; calculated volume = 57.7 Å³ per cell; mass density = 9.233 g/cm³; space group = F-43m (216); total DFT energy (no corrections) = -36.93 eV for the cell shown; energy relative to the elements, uncorrected = -0.14 eV per atom
1.0
0.000 3.068 3.068
3.068 0.000 3.068
3.068 3.068 0.000
Si Mo Ru
1 2 1
direct
0.000 0.000 0.000
0.500 0.500 0.500
0.750 0.750 0.750
0.250 0.250 0.250

(2)
Si4MoRu2 | Alexandria via LeMat-Bulk | PBE | optimized geometry; calculated volume = 124.3 Å³ per cell; mass density = 5.484 g/cm³; space group = I4/mmm (139); total DFT energy (no corrections) = -47.73 eV for the cell shown; energy relative to the elements, uncorrected = 0.48 eV per atom
1.0
-2.266 2.266 6.050
2.266 -2.266 6.050
2.266 2.266 -6.050
Si Mo Ru
4 1 2
direct
0.000 0.500 0.500
0.206 0.206 0.000
0.500 0.000 0.500
0.794 0.794 0.000
0.000 0.000 0.000
0.393 0.393 0.000
0.607 0.607 0.000

(3)
SiMo3Ru | Alexandria via LeMat-Bulk | PBE | optimized geometry; calculated volume = 86.7 Å³ per cell; ΔE to the lowest computed polymorph = 0.0000 eV per atom; mass density = 7.985 g/cm³; space group = Pm-3m (221); total DFT energy (no corrections) = -41.48 eV for the cell shown; energy relative to the elements, uncorrected = 1.14 eV per atom
1.0
4.426 0.000 0.000
0.000 4.426 0.000
0.000 0.000 4.426
Si Mo Ru
1 3 1
direct
0.000 0.000 0.000
0.000 0.000 0.500
0.000 0.500 0.000
0.500 0.000 0.000
0.500 0.500 0.500

(4)
Si2MoRu | Alexandria via LeMat-Bulk | PBE | optimized geometry; calculated volume = 55.9 Å³ per cell; mass density = 7.523 g/cm³; space group = R-3m (166); total DFT energy (no corrections) = -31.73 eV for the cell shown; energy relative to the elements, uncorrected = -0.20 eV per atom
1.0
1.423 0.822 7.961
-1.423 0.822 7.961
0.000 -1.644 7.961
Si Mo Ru
2 1 1
direct
0.246 0.246 0.246
0.754 0.754 0.754
0.000 0.000 0.000
0.500 0.500 0.500